The following is a DFT calculation (GGA-PBE) of Th2Ni2Os after structural relaxation.

The value obtained for the total magnetic moment is 0.00 μB per cell. The value obtained for the formation energy is -0.3482 eV/atom. For the total energy, the calculation gives -7.8746 eV per atom.

The structure belongs to space group Immm (No. 71); the cell edges are 4.034, 6.369 and 7.705 Å and the angles 90.00°, 90.00° and 90.00°. The inequivalent atoms are Th at (0.000, 0.000, 0.232), Ni at (0.000, 0.308, 0.500) and Os at (0.000, 0.500, 0.000).

---

The following is a DFT calculation (GGA-PBE) of ThNi2Os after structural relaxation.

The value obtained for the total magnetic moment is 0.00 μB per cell. The value obtained for the formation energy is -0.2252 eV/atom. For the total energy, the calculation gives -7.7783 eV per atom.

The structure belongs to space group R-3m (No. 166, hexagonal axes); the cell edges are 4.2277, 4.2277 and 13.8664 Å and the angles 90.00°, 90.00° and 120.00°. The inequivalent atoms are Th at (0.0000, 0.0000, 0.0000), Ni at (0.0000, 0.0000, 0.1970) and Os at (0.0000, 0.0000, 0.5000).

---

The following is a DFT calculation (GGA-PBE) of Th4NiOs after structural relaxation.

The value obtained for the total magnetic moment is 0.00 μB per cell. The value obtained for the formation energy is -0.1436 eV/atom. For the total energy, the calculation gives -7.9253 eV per atom.

The structure belongs to space group I4/mcm (No. 140); the cell edges are 6.924, 6.924 and 13.177 Å and the angles 90.00°, 90.00° and 90.00°. The inequivalent atoms are Th at (0.181, 0.319, 0.127), Ni at (0.000, 0.000, 0.000) and Os at (0.000, 0.000, 0.250).

---

The following is a DFT calculation (GGA-PBE) of ThNiOs after structural relaxation.

The value obtained for the total magnetic moment is 0.00 μB per cell. The value obtained for the formation energy is 0.1105 eV/atom. For the total energy, the calculation gives -8.0331 eV per atom.

The structure belongs to space group I4/mmm (No. 139); the cell edges are 3.785, 3.785 and 16.367 Å and the angles 90.00°, 90.00° and 90.00°. The inequivalent atoms are Th at (0.000, 0.000, 0.104), Ni at (0.000, 0.000, 0.428) and Os at (0.000, 0.000, 0.269).

---

The following is a DFT calculation (GGA-PBE) of ThNi3Os after structural relaxation.

The value obtained for the total magnetic moment is 0.00 μB per cell. The value obtained for the formation energy is -0.2277 eV/atom. For the total energy, the calculation gives -7.4264 eV per atom.

The structure belongs to space group Cmcm (No. 63); the cell edges are 5.268, 12.144 and 4.999 Å and the angles 90.00°, 90.00° and 90.00°. The inequivalent atoms are Th at (0.000, 0.118, 0.250), Ni at (0.000, 0.314, 0.750), Ni at (0.236, 0.347, 0.250) and Os at (0.000, 0.500, 0.000).

---

The following is a DFT calculation (GGA-PBE) of Th4Ni3Os after structural relaxation.

The value obtained for the total magnetic moment is 0.00 μB per cell. The value obtained for the formation energy is -0.4188 eV/atom. For the total energy, the calculation gives -7.7004 eV per atom.

The structure belongs to space group Pmm2 (No. 25); the cell edges are 3.809, 4.286 and 10.924 Å and the angles 90.00°, 90.00° and 90.00°. The inequivalent atoms are Th at (0.000, 0.000, 0.000), Th at (0.000, 0.500, 0.269), Th at (0.500, 0.000, 0.496), Th at (0.500, 0.500, 0.766), Ni at (0.000, 0.000, 0.715), Ni at (0.000, 0.500, 0.553), Ni at (0.500, 0.500, 0.034) and Os at (0.500, 0.000, 0.221).

---

The following is a DFT calculation (GGA-PBE) of ThNiOs after structural relaxation.

The value obtained for the total magnetic moment is 0.00 μB per cell. The value obtained for the formation energy is -0.3335 eV/atom. For the total energy, the calculation gives -8.4772 eV per atom.

The structure belongs to space group Imma (No. 74); the cell edges are 5.243, 5.284 and 7.734 Å and the angles 90.00°, 90.00° and 90.00°. The inequivalent atoms are Th at (0.000, 0.250, 0.121), Ni at (0.000, 0.000, 0.500) and Os at (0.250, 0.250, 0.750).

---

The following is a DFT calculation (GGA-PBE) of Th2NiOs after structural relaxation.

The value obtained for the total magnetic moment is 0.00 μB per cell. The value obtained for the formation energy is 0.5441 eV/atom. For the total energy, the calculation gives -7.4186 eV per atom.

The structure belongs to space group R-3m (No. 166, hexagonal axes); the cell edges are 3.2519, 3.2519 and 29.4744 Å and the angles 90.00°, 90.00° and 120.00°. The inequivalent atoms are Th at (0.0000, 0.0000, 0.0872), Ni at (0.0000, 0.0000, 0.0000) and Os at (0.0000, 0.0000, 0.5000).

---

The following is a DFT calculation (GGA-PBE) of Th2NiOs after structural relaxation.

The value obtained for the total magnetic moment is 0.00 μB per cell. The value obtained for the formation energy is -0.4413 eV/atom. For the total energy, the calculation gives -8.4040 eV per atom.

The structure belongs to space group P2_1/m (No. 11); the cell edges are 5.898, 4.236 and 7.640 Å and the angles 90.00°, 108.84° and 90.00°. The inequivalent atoms are Th at (0.228, 0.250, 0.435), Th at (0.230, 0.250, 0.933), Ni at (0.317, 0.750, 0.203) and Os at (0.321, 0.750, 0.710).

---

The following is a DFT calculation (GGA-PBE) of ThNiOs after structural relaxation.

The value obtained for the total magnetic moment is 0.00 μB per cell. The value obtained for the formation energy is -0.2573 eV/atom. For the total energy, the calculation gives -8.4010 eV per atom.

The structure belongs to space group P-6m2 (No. 187); the cell edges are 4.1848, 4.1848 and 3.9395 Å and the angles 90.00°, 90.00° and 120.00°. The inequivalent atoms are Th at (0.0000, 0.0000, 0.0000), Ni at (0.3333, 0.6667, 0.5000) and Os at (0.6667, 0.3333, 0.5000).

---

The following is a DFT calculation (GGA-PBE) of Th4Ni2Os after structural relaxation.

The value obtained for the total magnetic moment is 0.00 μB per cell. The value obtained for the formation energy is -0.2683 eV/atom. For the total energy, the calculation gives -7.7643 eV per atom.

The structure belongs to space group Imma (No. 74); the cell edges are 8.868, 8.871 and 9.118 Å and the angles 90.00°, 90.00° and 90.00°. The inequivalent atoms are Th at (0.000, 0.057, 0.195), Th at (0.193, 0.250, 0.555), Ni at (0.000, 0.000, 0.500), Ni at (0.250, 0.250, 0.250) and Os at (0.000, 0.250, 0.875).

---

The following is a DFT calculation (GGA-PBE) of Th2NiOs after structural relaxation.

The value obtained for the total magnetic moment is 0.00 μB per cell. The value obtained for the formation energy is -0.2253 eV/atom. For the total energy, the calculation gives -8.1880 eV per atom.

The structure belongs to space group P4/mmm (No. 123); the cell edges are 5.079, 5.079 and 3.432 Å and the angles 90.00°, 90.00° and 90.00°. The inequivalent atoms are Th at (0.000, 0.500, 0.000), Ni at (0.000, 0.000, 0.500) and Os at (0.500, 0.500, 0.500).

---

The following is a DFT calculation (GGA-PBE) of Th3NiOs2 after structural relaxation.

The value obtained for the total magnetic moment is 0.00 μB per cell. The value obtained for the formation energy is -0.3518 eV/atom. For the total energy, the calculation gives -8.7685 eV per atom.

The structure belongs to space group Pnma (No. 62); the cell edges are 11.914, 4.036 and 11.522 Å and the angles 90.00°, 90.00° and 90.00°. The inequivalent atoms are Th at (0.058, 0.250, 0.128), Th at (0.121, 0.750, 0.563), Th at (0.206, 0.250, 0.816), Ni at (0.128, 0.250, 0.379), Os at (0.010, 0.750, 0.312) and Os at (0.176, 0.750, 0.994).

---

The following is a DFT calculation (GGA-PBE) of Th8Ni2Os after structural relaxation.

The value obtained for the total magnetic moment is 0.00 μB per cell. The value obtained for the formation energy is -0.0621 eV/atom. For the total energy, the calculation gives -7.5303 eV per atom.

The structure belongs to space group Cm (No. 8); the cell edges are 8.061, 13.218 and 6.180 Å and the angles 90.00°, 110.89° and 90.00°. The inequivalent atoms are Th at (0.000, 0.000, 0.000), Th at (0.092, 0.372, 0.793), Th at (0.126, 0.129, 0.558), Th at (0.215, 0.500, 0.361), Th at (0.334, 0.204, 0.170), Ni at (0.375, 0.296, 0.704) and Os at (0.361, 0.000, 0.402).

---

The following is a DFT calculation (GGA-PBE) of ThNi4Os after structural relaxation.

The value obtained for the total magnetic moment is 7.43 μB per cell. The value obtained for the formation energy is -0.0869 eV/atom. For the total energy, the calculation gives -7.0494 eV per atom.

The structure belongs to space group F-43m (No. 216); the cell edges are 7.005, 7.005 and 7.005 Å and the angles 90.00°, 90.00° and 90.00°. The inequivalent atoms are Th at (0.000, 0.000, 0.000), Ni at (0.123, 0.123, 0.623) and Os at (0.250, 0.250, 0.250).

---

The following is a DFT calculation (GGA-PBE) of YThNiOs after structural relaxation.

The value obtained for the total magnetic moment is 0.00 μB per cell. The value obtained for the formation energy is -0.2878 eV/atom. For the total energy, the calculation gives -8.0116 eV per atom.

The structure belongs to space group F-43m (No. 216); the cell edges are 6.958, 6.958 and 6.958 Å and the angles 90.00°, 90.00° and 90.00°. The inequivalent atoms are Y at (0.000, 0.000, 0.000), Th at (0.000, 0.000, 0.500), Ni at (0.250, 0.250, 0.250) and Os at (0.250, 0.250, 0.750).

---

The following is a DFT calculation (GGA-PBE) of TiNi4Os after structural relaxation.

The value obtained for the total magnetic moment is 0.26 μB per cell. The value obtained for the formation energy is -0.1533 eV/atom. For the total energy, the calculation gives -7.1950 eV per atom.

The structure belongs to space group F-43m (No. 216); the cell edges are 6.618, 6.618 and 6.618 Å and the angles 90.00°, 90.00° and 90.00°. The inequivalent atoms are Ti at (0.000, 0.000, 0.000), Ni at (0.124, 0.124, 0.376) and Os at (0.250, 0.250, 0.750).

---

The following is a DFT calculation (GGA-PBE) of Ti8Ni2Os after structural relaxation.

The value obtained for the total magnetic moment is 0.00 μB per cell. The value obtained for the formation energy is -0.1435 eV/atom. For the total energy, the calculation gives -7.9573 eV per atom.

The structure belongs to space group C2/m (No. 12); the cell edges are 7.093, 11.888 and 4.532 Å and the angles 90.00°, 111.95° and 90.00°. The inequivalent atoms are Ti at (0.000, 0.217, 0.000), Ti at (0.117, 0.500, 0.812), Ti at (0.208, 0.114, 0.595), Ni at (0.000, 0.302, 0.500) and Os at (0.000, 0.000, 0.000).

---

The following is a DFT calculation (GGA-PBE) of Ti4Ni3Os after structural relaxation.

The value obtained for the total magnetic moment is 0.00 μB per cell. The value obtained for the formation energy is -0.4392 eV/atom. For the total energy, the calculation gives -7.9584 eV per atom.

The structure belongs to space group P4/mmm (No. 123); the cell edges are 4.294, 4.294 and 6.067 Å and the angles 90.00°, 90.00° and 90.00°. The inequivalent atoms are Ti at (0.000, 0.500, 0.247), Ni at (0.000, 0.000, 0.000), Ni at (0.000, 0.000, 0.500), Ni at (0.500, 0.500, 0.000) and Os at (0.500, 0.500, 0.500).

---

The following is a DFT calculation (GGA-PBE) of Ti2NiOs after structural relaxation.

The value obtained for the total magnetic moment is 0.00 μB per cell. The value obtained for the formation energy is -0.5257 eV/atom. For the total energy, the calculation gives -8.7260 eV per atom.

The structure belongs to space group P4/mmm (No. 123); the cell edges are 4.308, 4.308 and 3.086 Å and the angles 90.00°, 90.00° and 90.00°. The inequivalent atoms are Ti at (0.000, 0.500, 0.000), Ni at (0.000, 0.000, 0.500) and Os at (0.500, 0.500, 0.500).